Entry 1:
# PBE-GGA Tm6Te3Rh2Pb, relaxed
# Electronic total energy ... -5.5060 eV/atom
data_Tm6Te3Rh2Pb
_chemical_formula_sum 'Tm12 Te6 Rh4 Pb2'
_symmetry_space_group_name_H-M 'C 1 2/m 1'
_symmetry_Int_Tables_number 12
_symmetry_space_group_name_Hall '-C 2y'
_cell_length_a 18.8151
_cell_length_b 4.0963
_cell_length_c 8.7923
_cell_angle_alpha 90.00
_cell_angle_beta 106.97
_cell_angle_gamma 90.00
loop_
_atom_site_label
_atom_site_fract_x
_atom_site_fract_y
_atom_site_fract_z
_atom_site_occupancy
Tm1 0.0155 0.0000 0.2609 1
Tm2 0.1720 0.5000 0.1245 1
Tm3 0.1798 0.5000 0.5631 1
Te1 0.0000 0.5000 0.5000 1
Te2 0.1604 0.0000 0.8372 1
Rh1 0.1687 0.0000 0.3385 1
Pb1 0.0000 0.5000 0.0000 1

Entry 2:
# PBE-GGA HgOs3, relaxed
# Energy of formation from the pure elements ... 3.62 eV/f.u.
data_HgOs3
_chemical_formula_sum 'Hg2 Os6'
_symmetry_space_group_name_H-M 'I 4/m m m'
_symmetry_Int_Tables_number 139
_symmetry_space_group_name_Hall '-I 4 2'
_cell_length_a 3.9098
_cell_length_b 3.9098
_cell_length_c 8.1654
_cell_angle_alpha 90.00
_cell_angle_beta 90.00
_cell_angle_gamma 90.00
loop_
_atom_site_label
_atom_site_fract_x
_atom_site_fract_y
_atom_site_fract_z
_atom_site_occupancy
Hg1 0.0000 0.0000 0.0000 1
Os1 0.0000 0.0000 0.5000 1
Os2 0.0000 0.5000 0.2500 1